Entry 1:
The following is a DFT calculation (PBE) of a geometry-optimized TlCdIn2Pb structure.

```
data_TlCdIn2Pb
_chemical_formula_sum 'Tl2 Cd2 In4 Pb2'
_cell_length_a 8.229
_cell_length_b 3.313
_cell_length_c 11.154
_cell_angle_alpha 90.00
_cell_angle_beta 110.52
_cell_angle_gamma 90.00
_symmetry_space_group_name_H-M 'P 1 21/m 1'
_symmetry_Int_Tables_number 11
_symmetry_space_group_name_Hall '-P 2yb'
loop_
_atom_site_label
_atom_site_type_symbol
_atom_site_fract_x
_atom_site_fract_y
_atom_site_fract_z
_atom_site_occupancy
Tl1 Tl 0.157 0.250 0.444 1
Cd1 Cd 0.364 0.750 0.044 1
In1 In 0.089 0.250 0.135 1
In2 In 0.444 0.750 0.342 1
Pb1 Pb 0.227 0.250 0.767 1
```

- Magnetization: 0.000 μB per cell
- E_form: 0.040 eV per atom
- Crystal system: monoclinic



Entry 2:
The following is a DFT calculation (PBE) of a geometry-optimized Tl3Cd2In4Pb2 structure.

```
data_Tl3Cd2In4Pb2
_chemical_formula_sum 'Tl3 Cd2 In4 Pb2'
_cell_length_a 5.3439
_cell_length_b 5.3439
_cell_length_c 13.3213
_cell_angle_alpha 90.00
_cell_angle_beta 90.00
_cell_angle_gamma 120.00
_symmetry_space_group_name_H-M 'P -3 m 1'
_symmetry_Int_Tables_number 164
_symmetry_space_group_name_Hall '-P 3 2"'
loop_
_atom_site_label
_atom_site_type_symbol
_atom_site_fract_x
_atom_site_fract_y
_atom_site_fract_z
_atom_site_occupancy
Tl1 Tl 0.0000 0.0000 0.0000 1
Tl2 Tl 0.0000 0.0000 0.2669 1
Cd1 Cd 0.3333 0.6667 0.1162 1
In1 In 0.3333 0.6667 0.3491 1
In2 In 0.3333 0.6667 0.8701 1
Pb1 Pb 0.3333 0.6667 0.5859 1
```

- Magnetization: 0.000 μB per cell
- E_form: 0.057 eV per atom
- Crystal system: trigonal



Entry 3:
The following is a DFT calculation (PBE) of a geometry-optimized Tl3Cd2In3Pb structure.

```
data_Tl3Cd2In3Pb
_chemical_formula_sum 'Tl3 Cd2 In3 Pb1'
_cell_length_a 9.3847
_cell_length_b 9.3847
_cell_length_c 3.3509
_cell_angle_alpha 90.00
_cell_angle_beta 90.00
_cell_angle_gamma 120.00
_symmetry_space_group_name_H-M 'P -6 2 m'
_symmetry_Int_Tables_number 189
_symmetry_space_group_name_Hall 'P -6 -2'
loop_
_atom_site_label
_atom_site_type_symbol
_atom_site_fract_x
_atom_site_fract_y
_atom_site_fract_z
_atom_site_occupancy
Tl1 Tl 0.0000 0.3199 0.0000 1
Cd1 Cd 0.3333 0.6667 0.0000 1
In1 In 0.0000 0.6387 0.5000 1
Pb1 Pb 0.0000 0.0000 0.5000 1
```

- Magnetization: 0.000 μB per cell
- E_form: 0.048 eV per atom
- Crystal system: hexagonal



Entry 4:
The following is a DFT calculation (PBE) of a geometry-optimized Tl2CdIn2Pb structure.

```
data_Tl2CdIn2Pb
_chemical_formula_sum 'Tl4 Cd2 In4 Pb2'
_cell_length_a 5.357
_cell_length_b 9.623
_cell_length_c 6.711
_cell_angle_alpha 90.00
_cell_angle_beta 90.00
_cell_angle_gamma 90.00
_symmetry_space_group_name_H-M 'P m c 21'
_symmetry_Int_Tables_number 26
_symmetry_space_group_name_Hall 'P 2c -2'
loop_
_atom_site_label
_atom_site_type_symbol
_atom_site_fract_x
_atom_site_fract_y
_atom_site_fract_z
_atom_site_occupancy
Tl1 Tl 0.000 0.003 0.000 1
Tl2 Tl 0.500 0.163 0.259 1
Cd1 Cd 0.000 0.330 0.697 1
In1 In 0.000 0.345 0.198 1
In2 In 0.500 0.178 0.759 1
Pb1 Pb 0.500 0.498 0.470 1
```

- Magnetization: 0.000 μB per cell
- E_form: 0.029 eV per atom
- Crystal system: orthorhombic



Entry 5:
The following is a DFT calculation (PBE) of a geometry-optimized Tl2CdIn2Pb2 structure.

```
data_Tl2CdIn2Pb2
_chemical_formula_sum 'Tl4 Cd2 In4 Pb4'
_cell_length_a 10.549
_cell_length_b 5.185
_cell_length_c 7.441
_cell_angle_alpha 90.00
_cell_angle_beta 95.97
_cell_angle_gamma 90.00
_symmetry_space_group_name_H-M 'C 1 2/m 1'
_symmetry_Int_Tables_number 12
_symmetry_space_group_name_Hall '-C 2y'
loop_
_atom_site_label
_atom_site_type_symbol
_atom_site_fract_x
_atom_site_fract_y
_atom_site_fract_z
_atom_site_occupancy
Tl1 Tl 0.061 0.000 0.229 1
Cd1 Cd 0.000 0.500 0.500 1
In1 In 0.227 0.000 0.637 1
Pb1 Pb 0.146 0.500 0.920 1
```

- Magnetization: 0.000 μB per cell
- E_form: 0.031 eV per atom
- Crystal system: monoclinic



Entry 6:
The following is a DFT calculation (PBE) of a geometry-optimized TlCdInPb structure.

```
data_TlCdInPb
_chemical_formula_sum 'Tl4 Cd4 In4 Pb4'
_cell_length_a 7.701
_cell_length_b 7.701
_cell_length_c 7.701
_cell_angle_alpha 90.00
_cell_angle_beta 90.00
_cell_angle_gamma 90.00
_symmetry_space_group_name_H-M 'F -4 3 m'
_symmetry_Int_Tables_number 216
_symmetry_space_group_name_Hall 'F -4 2 3'
loop_
_atom_site_label
_atom_site_type_symbol
_atom_site_fract_x
_atom_site_fract_y
_atom_site_fract_z
_atom_site_occupancy
Tl1 Tl 0.000 0.000 0.000 1
Cd1 Cd 0.250 0.250 0.250 1
In1 In 0.250 0.250 0.750 1
Pb1 Pb 0.000 0.000 0.500 1
```

- Polymorph energy (0 for the lowest one): 0.259 kcal/mol of atoms
- Magnetization: 0.000 μB per cell
- E_form: 0.035 eV per atom
- Crystal system: cubic



Entry 7:
The following is a DFT calculation (PBE) of a geometry-optimized ZrCd2InPb structure.

```
data_ZrCd2InPb
_chemical_formula_sum 'Zr1 Cd2 In1 Pb1'
_cell_length_a 5.367
_cell_length_b 5.367
_cell_length_c 6.087
_cell_angle_alpha 90.00
_cell_angle_beta 90.00
_cell_angle_gamma 90.00
_symmetry_space_group_name_H-M 'P 4/m m m'
_symmetry_Int_Tables_number 123
_symmetry_space_group_name_Hall '-P 4 2'
loop_
_atom_site_label
_atom_site_type_symbol
_atom_site_fract_x
_atom_site_fract_y
_atom_site_fract_z
_atom_site_occupancy
Zr1 Zr 0.000 0.000 0.000 1
Cd1 Cd 0.000 0.500 0.500 1
In1 In 0.000 0.000 0.500 1
Pb1 Pb 0.500 0.500 0.000 1
```

- Magnetization: 0.000 μB per cell
- E_form: 0.661 eV per atom
- Crystal system: tetragonal



Entry 8:
The following is a DFT calculation (PBE) of a geometry-optimized Cd3InPd12 structure.

```
data_Cd3InPd12
_chemical_formula_sum 'Cd3 In1 Pd12'
_cell_length_a 4.037
_cell_length_b 4.037
_cell_length_c 16.078
_cell_angle_alpha 90.00
_cell_angle_beta 90.00
_cell_angle_gamma 90.00
_symmetry_space_group_name_H-M 'P 4/m m m'
_symmetry_Int_Tables_number 123
_symmetry_space_group_name_Hall '-P 4 2'
loop_
_atom_site_label
_atom_site_type_symbol
_atom_site_fract_x
_atom_site_fract_y
_atom_site_fract_z
_atom_site_occupancy
Cd1 Cd 0.000 0.000 0.000 1
Cd2 Cd 0.000 0.000 0.250 1
In1 In 0.000 0.000 0.500 1
Pd1 Pd 0.000 0.500 0.125 1
Pd2 Pd 0.000 0.500 0.376 1
Pd3 Pd 0.500 0.500 0.000 1
Pd4 Pd 0.500 0.500 0.249 1
Pd5 Pd 0.500 0.500 0.500 1
```

- Magnetization: 0.000 μB per cell
- E_form: -0.280 eV per atom
- Crystal system: tetragonal